# 1
First-principles (PBE) data for a relaxed structure of SiHg2S, as listed in Alexandria via LeMat-Bulk.

Structure (POSCAR):
```
SiHg2S
1.0
0.000 3.491 3.491
3.491 0.000 3.491
3.491 3.491 0.000
S Si Hg
1 1 2
Direct
0.500 0.500 0.500
0.000 0.000 0.000
0.250 0.250 0.250
0.750 0.750 0.750
```

Summary:
Relative energy among the computed polymorphs ... 341 meV/atom
ΔE_f (raw) ... 641.3 meV/atom



# 2
First-principles (PBE) data for a relaxed structure of FeTeBr2, as listed in Alexandria via LeMat-Bulk.

Structure (POSCAR):
```
FeTeBr2
1.0
-0.820 4.467 2.852
-5.131 0.053 -1.559
-0.839 -1.876 2.697
Br Fe Te
2 1 1
Direct
0.000 0.000 0.000
0.500 0.500 0.000
0.500 0.000 0.500
0.000 0.500 0.500
```

Summary:
ΔE_f (raw) ... 681.6 meV/atom



# 3
First-principles (PBE) data for a relaxed structure of UIn2AgTe4, as listed in Alexandria via LeMat-Bulk.

Structure (POSCAR):
```
UIn2AgTe4
1.0
4.386 0.000 0.000
0.000 7.406 0.092
0.000 -2.637 7.774
U In Ag Te
1 2 1 4
Direct
0.500 0.500 0.000
0.500 0.000 0.500
0.000 0.500 0.500
0.000 0.000 0.000
0.500 0.248 0.228
0.500 0.752 0.772
0.000 0.263 0.771
0.000 0.737 0.229
```

Summary:
ΔE_f (raw) ... -305.2 meV/atom



# 4
First-principles (PBE) data for a relaxed structure of Pu3CuS6, as listed in Alexandria via LeMat-Bulk.

Structure (POSCAR):
```
Pu3CuS6
1.0
-4.693 1.985 -3.761
2.722 -5.103 -6.091
-5.389 -4.964 4.105
Pu Cu S
6 2 12
Direct
0.473 0.925 0.718
0.973 0.718 0.925
0.391 0.391 0.609
0.891 0.609 0.391
0.973 0.075 0.282
0.473 0.282 0.075
0.035 0.197 0.803
0.535 0.803 0.197
0.182 0.690 0.633
0.682 0.633 0.690
0.200 0.440 0.904
0.700 0.904 0.440
0.179 0.033 0.967
0.670 0.221 0.779
0.170 0.779 0.221
0.679 0.967 0.033
0.200 0.096 0.560
0.700 0.560 0.096
0.182 0.367 0.310
0.682 0.310 0.367
```

Summary:
ΔE_f (raw) ... -1345.3 meV/atom



# 5
First-principles (PBE) data for a relaxed structure of NiPt2Br, as listed in Alexandria via LeMat-Bulk.

Structure (POSCAR):
```
NiPt2Br
1.0
5.009 0.040 0.000
1.859 4.651 0.000
-3.434 -2.346 2.792
Br Ni Pt
1 1 2
Direct
0.250 0.750 0.500
0.750 0.250 0.500
0.000 0.000 0.000
0.500 0.500 0.000
```

Summary:
Relative energy among the computed polymorphs ... 365 meV/atom
ΔE_f (raw) ... 654.3 meV/atom



# 6
First-principles (PBE) data for a relaxed structure of Ac2Sn3Rh4Pb, as listed in Alexandria via LeMat-Bulk.

Structure (POSCAR):
```
Ac2Sn3Rh4Pb
1.0
4.659 0.000 0.000
0.000 4.659 0.000
0.000 0.000 10.775
Ac Sn Rh Pb
2 3 4 1
Direct
0.500 0.000 0.244
0.000 0.500 0.756
0.000 0.000 0.500
0.500 0.000 0.878
0.000 0.500 0.122
0.500 0.500 0.000
0.000 0.000 0.000
0.500 0.000 0.635
0.000 0.500 0.365
0.500 0.500 0.500
```

Summary:
Energy relative to the elements ... -63.8 kJ/mol of atoms



# 7
First-principles (PBE) data for a relaxed structure of NdPa2Ru, as listed in Alexandria via LeMat-Bulk.

Structure (POSCAR):
```
NdPa2Ru
1.0
3.678 0.000 0.000
1.839 3.186 0.000
1.839 1.062 9.129
Ru Pa Nd
1 2 1
Direct
0.000 0.000 0.000
0.270 0.270 0.189
0.730 0.730 0.811
0.500 0.500 0.500
```

Summary:
Energy relative to the elements ... 0.1 kJ/mol of atoms
Relative energy among the computed polymorphs ... 50 meV/atom



# 8
First-principles (PBE) data for a relaxed structure of LiNiCl, as listed in Alexandria via LeMat-Bulk.

Structure (POSCAR):
```
LiNiCl
1.0
-1.361 0.575 -3.509
-2.275 -1.386 2.721
-1.927 6.828 1.867
Ni Li Cl
2 2 2
Direct
0.333 0.667 0.250
0.667 0.333 0.750
0.000 0.000 0.000
0.000 0.000 0.500
0.333 0.667 0.750
0.667 0.333 0.250
```

Summary:
Relative energy among the computed polymorphs ... 468 meV/atom
ΔE_f (raw) ... -257.3 meV/atom



# 9
First-principles (PBE) data for a relaxed structure of KCrGe2Rh, as listed in Alexandria via LeMat-Bulk.

Structure (POSCAR):
```
KCrGe2Rh
1.0
4.768 0.000 0.000
0.000 5.785 0.000
0.000 0.000 4.768
Cr Ge Rh K
1 2 1 1
Direct
0.500 0.500 0.500
0.000 0.000 0.500
0.500 0.000 0.000
0.000 0.000 0.000
0.000 0.500 0.000
```

Summary:
Energy relative to the elements ... 56.5 kJ/mol of atoms



# 10
First-principles (PBE) data for a relaxed structure of NdY3Ir, as listed in Alexandria via LeMat-Bulk.

Structure (POSCAR):
```
NdY3Ir
1.0
-4.203 4.296 1.749
-4.258 -2.358 -4.438
-2.786 -4.868 5.260
Nd Y Ir
2 6 2
Direct
0.429 0.325 0.701
0.929 0.028 0.201
0.421 0.331 0.201
0.427 0.858 0.952
0.927 0.495 0.452
0.921 0.021 0.701
0.927 0.495 0.950
0.427 0.858 0.450
0.175 0.681 0.701
0.675 0.672 0.201
```

Summary:
Energy relative to the elements ... -31.6 kJ/mol of atoms
Relative energy among the computed polymorphs ... 0 meV/atom



# 11
First-principles (PBE) data for a relaxed structure of CaV2Ru2, as listed in Alexandria via LeMat-Bulk.

Structure (POSCAR):
```
CaV2Ru2
1.0
-7.527 0.210 -0.466
-0.466 0.001 7.530
0.079 2.835 0.005
Ru Ca V
4 2 4
Direct
0.146 0.646 0.500
0.646 0.854 0.500
0.854 0.354 0.500
0.354 0.146 0.500
0.000 0.000 0.000
0.500 0.500 0.000
0.359 0.859 0.000
0.859 0.641 0.000
0.641 0.141 0.000
0.141 0.359 0.000
```

Summary:
Energy relative to the elements ... 3.3 kJ/mol of atoms
Relative energy among the computed polymorphs ... 114 meV/atom



# 12
First-principles (PBE) data for a relaxed structure of OsAu, as listed in Alexandria via LeMat-Bulk.

Structure (POSCAR):
```
OsAu
1.0
-2.145 0.568 1.656
-0.078 -2.244 -1.620
4.186 -5.398 7.274
Au Os
2 2
Direct
0.000 0.000 0.009
0.500 0.500 0.741
0.000 0.000 0.483
0.500 0.500 0.267
```

Summary:
Energy relative to the elements ... 51.0 kJ/mol of atoms
Relative energy among the computed polymorphs ... 245 meV/atom



# 13
First-principles (PBE) data for a relaxed structure of PrGa2PdPt5, as listed in Alexandria via LeMat-Bulk.

Structure (POSCAR):
```
PrGa2PdPt5
1.0
4.017 0.000 0.000
0.000 4.017 0.000
0.000 0.000 11.489
Pr Ga Pd Pt
1 2 1 5
Direct
0.000 0.000 0.500
0.500 0.500 0.286
0.500 0.500 0.714
0.000 0.000 0.000
0.000 0.500 0.156
0.500 0.000 0.156
0.000 0.500 0.844
0.500 0.000 0.844
0.500 0.500 0.500
```

Summary:
Energy relative to the elements ... -37.1 kJ/mol of atoms



# 14
First-principles (PBE) data for a relaxed structure of NiB3Cl, as listed in Alexandria via LeMat-Bulk.

Structure (POSCAR):
```
NiB3Cl
1.0
3.923 0.000 0.000
0.000 3.923 0.000
0.000 0.000 3.923
Ni B Cl
1 3 1
Direct
0.000 0.000 0.000
0.000 0.500 0.000
0.000 0.000 0.500
0.500 0.000 0.000
0.500 0.500 0.500
```

Summary:
Relative energy among the computed polymorphs ... 0 meV/atom
ΔE_f (raw) ... 1035.9 meV/atom



# 15
First-principles (PBE) data for a relaxed structure of K2Cd2Au, as listed in Alexandria via LeMat-Bulk.

Structure (POSCAR):
```
K2Cd2Au
1.0
7.510 0.000 0.000
0.000 7.510 0.000
0.000 0.000 5.730
K Au Cd
4 2 4
Direct
0.181 0.681 0.500
0.681 0.819 0.500
0.819 0.319 0.500
0.319 0.181 0.500
0.000 0.000 0.000
0.500 0.500 0.000
0.359 0.859 0.000
0.859 0.641 0.000
0.641 0.141 0.000
0.141 0.359 0.000
```

Summary:
Energy relative to the elements ... -12.2 kJ/mol of atoms
Relative energy among the computed polymorphs ... 69 meV/atom



# 16
First-principles (PBE) data for a relaxed structure of LaBiSbI2, as listed in Alexandria via LeMat-Bulk.

Structure (POSCAR):
```
LaBiSbI2
1.0
-5.815 0.806 0.695
0.118 -3.345 4.872
1.102 5.009 3.413
I Sb Bi La
2 1 1 1
Direct
0.000 0.500 0.000
0.500 0.000 0.000
0.000 0.000 0.500
0.000 0.000 0.000
0.500 0.500 0.500
```

Summary:
Relative energy among the computed polymorphs ... 243 meV/atom
ΔE_f (raw) ... 33.2 meV/atom



# 17
First-principles (PBE) data for a relaxed structure of Tb2Dy6In, as listed in Alexandria via LeMat-Bulk.

Structure (POSCAR):
```
Tb2Dy6In
1.0
-1.482 -3.142 -0.107
2.935 -1.057 -9.645
6.074 -1.193 7.306
Tb Dy In
2 6 1
Direct
0.154 0.654 0.308
0.846 0.346 0.692
0.177 0.339 0.354
0.823 0.986 0.646
0.823 0.661 0.646
0.500 0.303 0.000
0.177 0.014 0.354
0.500 0.697 0.000
0.000 0.000 0.000
```

Summary:
Energy relative to the elements ... -1.4 kJ/mol of atoms
Relative energy among the computed polymorphs ... 0 meV/atom



# 18
First-principles (PBE) data for a relaxed structure of NdSi4OsRu2, as listed in Alexandria via LeMat-Bulk.

Structure (POSCAR):
```
NdSi4OsRu2
1.0
-3.157 -2.641 -0.173
0.477 -3.870 1.330
-3.360 0.256 8.333
Nd Si Os Ru
1 4 1 2
Direct
0.000 0.000 0.000
0.404 0.404 0.787
0.868 0.868 0.396
0.132 0.132 0.604
0.596 0.596 0.213
0.500 0.500 0.500
0.768 0.768 0.696
0.232 0.232 0.304
```

Summary:
ΔE_f (raw) ... -583.2 meV/atom



# 19
First-principles (PBE) data for a relaxed structure of BIrO3, as listed in Alexandria via LeMat-Bulk.

Structure (POSCAR):
```
BIrO3
1.0
-0.645 -0.719 3.248
0.876 -3.228 -0.541
3.209 0.737 0.800
B Ir O
1 1 3
Direct
0.000 0.000 0.000
0.500 0.500 0.500
0.000 0.500 0.000
0.000 0.000 0.500
0.500 0.000 0.000
```

Summary:
ΔE_f (raw) ... 136.6 meV/atom



# 20
First-principles (PBE) data for a relaxed structure of K2DyAgCl6, as listed in Alexandria via LeMat-Bulk.

Structure (POSCAR):
```
K2DyAgCl6
1.0
-3.425 -1.367 -6.318
6.580 -2.596 -3.006
-2.306 -9.508 3.162
K Dy Ag Cl
4 2 2 12
Direct
0.022 0.928 0.251
0.522 0.572 0.751
0.978 0.072 0.749
0.478 0.428 0.249
0.500 0.000 0.500
0.000 0.500 0.000
0.500 0.000 0.000
0.000 0.500 0.500
0.293 0.690 0.049
0.793 0.810 0.549
0.707 0.310 0.951
0.207 0.190 0.451
0.314 0.712 0.450
0.814 0.788 0.950
0.686 0.288 0.550
0.186 0.212 0.050
0.901 0.527 0.248
0.401 0.973 0.748
0.099 0.473 0.752
0.599 0.027 0.252
```

Summary:
Relative energy among the computed polymorphs ... 0 meV/atom
ΔE_f (raw) ... -1817.9 meV/atom



# 21
First-principles (PBE) data for a relaxed structure of Pm5YHo4, as listed in Alexandria via LeMat-Bulk.

Structure (POSCAR):
```
Pm5YHo4
1.0
-2.492 -2.441 -0.710
4.841 -1.960 -10.230
7.071 -4.973 1.205
Pm Y Ho
5 1 4
Direct
0.211 0.384 0.421
0.189 0.924 0.378
0.811 0.076 0.622
0.500 0.500 0.000
0.789 0.616 0.579
0.500 0.000 0.000
0.604 0.204 0.208
0.917 0.291 0.833
0.396 0.796 0.792
0.083 0.709 0.167
```

Summary:
Energy relative to the elements ... 3.5 kJ/mol of atoms
Relative energy among the computed polymorphs ... 0 meV/atom



# 22
First-principles (PBE) data for a relaxed structure of Ho2Ga2HgPd5, as listed in Alexandria via LeMat-Bulk.

Structure (POSCAR):
```
Ho2Ga2HgPd5
1.0
-2.783 2.534 0.595
-4.668 -6.473 5.733
4.823 3.459 7.832
Ho Ga Hg Pd
4 4 2 10
Direct
0.000 0.677 0.177
0.000 0.323 0.823
0.000 0.177 0.323
0.000 0.823 0.677
0.000 0.121 0.621
0.000 0.879 0.379
0.000 0.621 0.879
0.000 0.379 0.121
0.000 0.000 0.000
0.000 0.500 0.500
0.500 0.211 0.067
0.500 0.789 0.933
0.500 0.067 0.789
0.500 0.711 0.433
0.500 0.933 0.211
0.500 0.289 0.567
0.500 0.567 0.711
0.500 0.433 0.289
0.500 0.500 0.000
0.500 0.000 0.500
```

Summary:
Energy relative to the elements ... -65.7 kJ/mol of atoms



# 23
First-principles (PBE) data for a relaxed structure of SiNi2As, as listed in Alexandria via LeMat-Bulk.

Structure (POSCAR):
```
SiNi2As
1.0
4.757 0.284 -0.592
3.670 3.040 -0.592
0.456 0.180 3.798
As Ni Si
1 2 1
Direct
0.229 0.229 0.124
0.967 0.967 0.126
0.789 0.789 0.625
0.515 0.515 0.626
```

Summary:
ΔE_f (raw) ... -181.5 meV/atom